Record 1
CeZrTiTl: relaxed, GGA-PBE.

Cell: 5.120 5.120 5.120 Å, 60.00 60.00 60.00°
Element x y z (fractional)
Ce (0.000, 0.000, 0.000)
Zr (0.500, 0.500, 0.500)
Ti (0.750, 0.750, 0.750)
Tl (0.250, 0.250, 0.250)

SG	F-43m

Record 2
Ce2TmTi: relaxed, GGA-PBE.

Cell: 11.761 11.761 11.761 Å, 15.34 15.34 15.34°
Element x y z (fractional)
Ce (0.078, 0.078, 0.078)
Ce (0.922, 0.922, 0.922)
Tm (0.500, 0.500, 0.500)
Ti (0.000, 0.000, 0.000)

SG	R-3m

Total magnetization? In order: 1.2; 0.0 μB/f.u..
Formation energy from the elements? In order: 0.126; 0.320 eV/atom.